1.
Entry from Alexandria via LeMat-Bulk: an optimized crystal structure of LaPaTe3 (PBE).

Computed properties:
* raw total energy: -5.9237 eV/atom
* spin magnetization: 1.73 μB/f.u.
* E_form (uncorrected): -1.15 eV per atom
* offset from the most stable computed form: 0.2 kJ per mole of atoms

Cell lengths 8.753, 4.369, 9.037 Å; angles 90.00, 100.11, 90.00 degrees
Space group P2_1/m (No. 11)
Inequivalent atoms, fractional coordinates:
La 0.124 0.250 0.276 [2 per cell]
Pa 0.371 0.750 0.865 [2 per cell]
Te 0.125 0.250 0.899 [2 per cell]
Te 0.189 0.750 0.546 [2 per cell]
Te 0.403 0.750 0.219 [2 per cell]



2.
Entry from Alexandria via LeMat-Bulk: an optimized crystal structure of Zr4AlNi2 (PBE).

Computed properties:
* raw total energy: -6.9345 eV/atom
* spin magnetization: 0.00 μB/f.u.
* offset from the most stable computed form: 44.2 kJ per mole of atoms
* E_form: 0.1366 eV per atom

Cell lengths 3.0673, 3.0673, 16.7721 Å; angles 90.00, 90.00, 120.00 degrees
Space group P-3m1 (No. 164)
Inequivalent atoms, fractional coordinates:
Zr 0.3333 0.6667 0.3535 [2 per cell]
Zr 0.3333 0.6667 0.9150 [2 per cell]
Al 0.0000 0.0000 0.5000 [1 per cell]
Ni 0.3333 0.6667 0.2034 [2 per cell]



What did the second record say?
Entry from Alexandria via LeMat-Bulk: an optimized crystal structure of Zr4AlNi2 (PBE).

Computed properties:
* raw total energy: -6.9345 eV/atom
* spin magnetization: 0.00 μB/f.u.
* offset from the most stable computed form: 44.2 kJ per mole of atoms
* E_form: 0.1366 eV per atom

Cell lengths 3.0673, 3.0673, 16.7721 Å; angles 90.00, 90.00, 120.00 degrees
Space group P-3m1 (No. 164)
Inequivalent atoms, fractional coordinates:
Zr 0.3333 0.6667 0.3535 [2 per cell]
Zr 0.3333 0.6667 0.9150 [2 per cell]
Al 0.0000 0.0000 0.5000 [1 per cell]
Ni 0.3333 0.6667 0.2034 [2 per cell]